# 1
Y3Zn2In3: relaxed, GGA-PBE.

a b c (Å): 4.5669 5.9817 15.3688
angles (deg): 90.00 90.00 112.44
Closest atoms and distances in Å follow each position.
Element x y z (fractional)
Y1 0.3523 0.7046 0.7500  5 In 3.18-3.28, 4 Zn 3.23
In1 0.3776 0.7552 0.9610  3 Zn 2.70-2.92, 1 In 2.96
In2 0.3776 0.7552 0.5390  3 Zn 2.70-2.92, 1 In 2.96
Y2 0.9188 0.8377 0.1125  7 In 3.18-3.47, 3 Zn 3.22-3.25
Y3 0.0812 0.1623 0.8875  7 In 3.18-3.47, 3 Zn 3.22-3.25
In3 0.3605 0.7209 0.2500  2 Zn 2.74
Zn1 0.2102 0.4203 0.1083  4 In 2.70-2.92
Y4 0.0812 0.1623 0.6125  7 In 3.18-3.47, 3 Zn 3.22-3.25
Zn2 0.7898 0.5797 0.6083  4 In 2.70-2.92
Zn3 0.7898 0.5797 0.8917  4 In 2.70-2.92
Y5 0.9188 0.8377 0.3875  7 In 3.18-3.47, 3 Zn 3.22-3.25
In4 0.6395 0.2791 0.7500  2 Zn 2.74
Zn4 0.2102 0.4203 0.3917  4 In 2.70-2.92
In5 0.6224 0.2448 0.0390  3 Zn 2.70-2.92, 1 In 2.96
In6 0.6224 0.2448 0.4610  3 Zn 2.70-2.92, 1 In 2.96
Y6 0.6477 0.2954 0.2500  5 In 3.18-3.28, 4 Zn 3.23

Formation energy   -0.443 eV per atom


# 2
YZn9In2: relaxed, GGA-PBE.

a b c (Å): 5.4295 5.4295 8.9693
angles (deg): 72.38 72.38 60.00
Closest atoms and distances in Å follow each position.
Element x y z (fractional)
Zn1 0.5838 0.0813 0.7510  7 Zn 2.59-2.73
Zn2 0.4162 0.4162 0.2490  7 Zn 2.59-2.73
Zn3 0.0813 0.5838 0.7510  7 Zn 2.59-2.73
Zn4 0.9187 0.4162 0.2490  7 Zn 2.59-2.73
Zn5 0.4162 0.9187 0.2490  7 Zn 2.59-2.73
In1 0.8619 0.8619 0.4143  12 Zn 3.05-3.23
Zn6 0.6678 0.6678 0.9965  6 Zn 2.59-2.64
Zn7 0.3322 0.3322 0.0035  6 Zn 2.59-2.64
Zn8 0.5838 0.5838 0.7510  7 Zn 2.59-2.73
Y1 0.0000 0.0000 0.0000  18 Zn 3.13-3.43, 2 In 3.48
Zn9 0.5000 0.5000 0.5000  6 Zn 2.63
In2 0.1381 0.1381 0.5857  12 Zn 3.05-3.23

Formation energy   -0.104 eV per atom


# 3
YZnIn6: relaxed, GGA-PBE.

a b c (Å): 4.2897 6.7955 6.7955
angles (deg): 89.88 90.00 90.00
Closest atoms and distances in Å follow each position.
Element x y z (fractional)
In1 0.5000 0.0000 0.5000  8 In 3.22-3.23, 2 Zn 3.40, 2 Y 3.40
Zn1 0.5000 0.5000 0.5000  12 In 3.11-3.40
In2 0.5000 0.5000 0.0000  8 In 3.22-3.23, 2 Y 3.40, 2 Zn 3.40
Y1 0.5000 0.0000 0.0000  12 In 3.33-3.40
In3 0.0000 0.2645 0.2645  2 Zn 3.12, 6 In 3.19-3.22, 2 Y 3.33
In4 0.0000 0.7342 0.2658  2 Zn 3.11, 6 In 3.19-3.23, 2 Y 3.33
In5 0.0000 0.2658 0.7342  2 Zn 3.11, 6 In 3.19-3.23, 2 Y 3.33
In6 0.0000 0.7355 0.7355  2 Zn 3.12, 6 In 3.19-3.22, 2 Y 3.33

Formation energy   -0.130 eV per atom